A plane-wave DFT calculation with PBE was carried out for a relaxed CeYGe2 crystal.

It has space group R3m (No. 160, hexagonal axes), with a = 4.3855 Å, b = 4.3855 Å, c = 19.3646 Å, α = 90.00°, β = 90.00° and γ = 120.00°. Symmetry generates all atoms from Ce at (0.0000, 0.0000, 0.0000), Y at (0.0000, 0.0000, 0.1744), Ge at (0.0000, 0.0000, 0.4232) and Ge at (0.0000, 0.0000, 0.5815).

As for the total moment: 0.3 μB per formula unit. The energy comes out at -5.990 eV/atom. The formation energy comes out at -0.582 eV/atom.